1.
Li3CrFe3O8: optimized geometry, PBEsol.

Properties
final energy	-219.09	eV per cell
offset from the most stable computed form	0.04	eV/f.u.

Lattice parameters (Å, degrees): 5.548 5.548 9.203 90.00 90.00 120.00
Each line ends with the local moment (μB).
Positions (direct):
1 Li 0.168 0.336 0.446  0.00
2 Li 0.664 0.832 0.446  0.00
3 Li 0.168 0.832 0.446  0.00
4 Li 0.832 0.168 0.946  0.00
5 Li 0.336 0.168 0.946  0.00
6 Li 0.832 0.664 0.946  0.00
7 Cr 0.333 0.667 0.992  2.44
8 Cr 0.667 0.333 0.492  2.44
9 Fe 0.173 0.346 0.714  1.39
10 Fe 0.654 0.827 0.714  1.39
11 Fe 0.173 0.827 0.714  1.39
12 Fe 0.827 0.173 0.214  1.39
13 Fe 0.346 0.173 0.214  1.39
14 Fe 0.827 0.654 0.214  1.39
15 O 0.161 0.321 0.096  0.00
16 O 0.485 0.515 0.843  0.03
17 O 0.333 0.667 0.595  0.05
18 O 0.031 0.515 0.843  0.03
19 O 0.679 0.839 0.096  0.00
20 O 0.485 0.969 0.843  0.03
21 O 0.161 0.839 0.096  0.00
22 O 0.839 0.161 0.596  0.00
23 O 0.515 0.031 0.343  0.03
24 O 0.667 0.333 0.095  0.05
25 O 0.969 0.485 0.343  0.03
26 O 0.321 0.161 0.596  0.00
27 O 0.000 0.000 0.817  0.02
28 O 0.000 0.000 0.317  0.02
29 O 0.515 0.485 0.343  0.03
30 O 0.839 0.679 0.596  0.00

***

2.
ScMnBr3: optimized geometry, PBEsol.

Properties
final energy	-23.10	eV per cell

Lattice parameters (Å, degrees): 5.092 5.092 5.092 90.00 90.00 90.00
Each line ends with the local moment (μB).
Positions (direct):
1 Sc 0.500 0.500 0.500  1.07
2 Mn 0.000 0.000 0.000  4.14
3 Br 0.000 0.500 0.000  0.06
4 Br 0.000 0.000 0.500  0.06
5 Br 0.500 0.000 0.000  0.06

***

3.
RbNa2Ga: optimized geometry, PBEsol.

Properties
final energy	-12.43	eV per cell

Lattice parameters (Å, degrees): 5.097 5.097 12.109 102.15 102.15 90.00
Positions (direct):
1 Na 0.439 0.875 0.250
2 Na 0.811 0.375 0.250
3 Na 0.125 0.189 0.750
4 Na 0.625 0.561 0.750
5 Ga 0.750 0.250 0.500
6 Ga 0.500 0.500 0.000
7 Rb 0.250 0.750 0.500
8 Rb 0.000 0.000 0.000

***

4.
KH3Au: optimized geometry, PBEsol.

Properties
final energy	-15.61	eV per cell
offset from the most stable computed form	0.17	eV/f.u.

Lattice parameters (Å, degrees): 3.834 3.834 3.834 90.00 90.00 90.00
Positions (direct):
1 H 0.000 0.500 0.000
2 H 0.000 0.000 0.500
3 H 0.500 0.000 0.000
4 K 0.500 0.500 0.500
5 Au 0.000 0.000 0.000